# 1
The following is a DFT calculation (PBE) of a relaxed structure of CeEuPtPb.

Values from the calculation:
* total moment: 7.48 μB per cell
* V: 107.5 Å³/cell

a = 5.3378 Å, b = 5.3378 Å, c = 5.3378 Å
α = 60.00°, β = 60.00°, γ = 60.00°
Atoms (fractional coordinates):
Eu1 0.0000 0.0000 0.0000
Ce1 0.5000 0.5000 0.5000
Pb1 0.2500 0.2500 0.2500
Pt1 0.7500 0.7500 0.7500

---

# 2
The following is a DFT calculation (PBE) of a relaxed structure of CeEuZnPb.

Values from the calculation:
* total moment: 6.46 μB per cell
* V: 114.5 Å³/cell

a = 5.4507 Å, b = 5.4507 Å, c = 5.4507 Å
α = 60.00°, β = 60.00°, γ = 60.00°
Atoms (fractional coordinates):
Pb1 0.5000 0.5000 0.5000
Eu1 0.7500 0.7500 0.7500
Zn1 0.0000 0.0000 0.0000
Ce1 0.2500 0.2500 0.2500

---

# 3
The following is a DFT calculation (PBE) of a relaxed structure of Ce2EuPd.

Values from the calculation:
* total moment: 10.30 μB per cell
* V: 118.0 Å³/cell
* energy above the lowest structure with this stoichiometry: 0.0 kJ per mole of atoms

a = 3.7137 Å, b = 3.7137 Å, c = 8.5569 Å
α = 90.00°, β = 90.00°, γ = 90.00°
Atoms (fractional coordinates):
Ce1 0.0000 0.0000 0.1847
Ce2 0.0000 0.0000 0.8153
Eu1 0.5000 0.5000 0.5000
Pd1 0.5000 0.5000 0.0000

---

How do the records compare in E_form? In the order shown, they have -2.33 -1.24 -0.82 eV/f.u..
How do the records compare in raw total energy? In the order shown, they have -7.0726 -5.6084 -7.0386 eV/atom.